[1]
CaHo2Si after structural relaxation, computed with PBE.

Summary:
- Space group: R-3m (166)
- ΔE_f (raw): -67 meV per atom
- N(E_F): 1.08 states/eV/atom

POSCAR file:
```
CaHo2Si
1.0
3.942 0.000 0.000
-1.971 3.414 0.000
0.000 0.000 31.233
Ca Ho Si
3 6 3
direct
0.000 0.000 0.000
0.333 0.667 0.667
0.667 0.333 0.333
0.000 0.000 0.116
0.000 0.000 0.884
0.333 0.667 0.551
0.333 0.667 0.782
0.667 0.333 0.218
0.667 0.333 0.449
0.000 0.000 0.500
0.333 0.667 0.167
0.667 0.333 0.833
```

***

[2]
CaHoSi after structural relaxation, computed with PBE.

Summary:
- Space group: F-43m (216)
- ΔE_f (raw): -398 meV per atom
- N(E_F): 0.54 states/eV/atom

POSCAR file:
```
CaHoSi
1.0
6.945 0.000 0.000
0.000 6.945 0.000
0.000 0.000 6.945
Ca Ho Si
4 4 4
direct
0.000 0.000 0.000
0.000 0.500 0.500
0.500 0.000 0.500
0.500 0.500 0.000
0.000 0.000 0.500
0.000 0.500 0.000
0.500 0.000 0.000
0.500 0.500 0.500
0.250 0.250 0.750
0.250 0.750 0.250
0.750 0.250 0.250
0.750 0.750 0.750
```

***

[3]
CaHo2Si6 after structural relaxation, computed with PBE.

Summary:
- Space group: P6/mmm (191)
- ΔE_f (raw): -429 meV per atom
- N(E_F): 0.65 states/eV/atom

POSCAR file:
```
CaHo2Si6
1.0
7.141 0.000 0.000
-3.570 6.184 0.000
0.000 0.000 3.934
Ca Ho Si
1 2 6
direct
0.000 0.000 0.000
0.333 0.667 0.000
0.667 0.333 0.000
0.000 0.336 0.500
0.000 0.664 0.500
0.336 0.000 0.500
0.336 0.336 0.500
0.664 0.000 0.500
0.664 0.664 0.500
```